[1]
Entry from Alexandria via LeMat-Bulk: a relaxed Rb4In4Ga crystal (PBE).

abc: 6.9245 7.7323 14.5221
angles: 90.00 90.00 90.00
Closest atoms and distances in Å follow each position.
Space group I222 (No. 23)
Unique sites:
1 Rb 0.2149 0.1524 0.3477 (multiplicity 8)  4 In 3.64-3.97, 1 Ga 3.79, 1 Rb 3.80
2 In 0.1607 0.1366 0.0827 (multiplicity 8)  1 Ga 2.84, 1 In 3.07
3 Ga 0.0000 0.5000 0.5000 (multiplicity 2)  4 In 2.84

Results
E_form = -0.08 eV per atom
Total moment = 0.00 μB per formula unit
Crystal system = orthorhombic
ρ = 3.7 g/cm3



[2]
Entry from Alexandria via LeMat-Bulk: a relaxed RbIn2Ga crystal (PBE).

abc: 5.9107 5.9107 18.7568
angles: 90.00 90.00 90.00
Closest atoms and distances in Å follow each position.
Space group I4_1/amd (No. 141, origin choice 2)
Unique sites:
1 Rb 0.0000 0.2500 0.3750 (multiplicity 4)  8 In 4.05, 4 Ga 4.18
2 In 0.0000 0.0000 0.0000 (multiplicity 8)  2 Ga 2.77, 2 In 2.96
3 Ga 0.0000 0.2500 0.8750 (multiplicity 4)  4 In 2.77

Results
E_form = 0.08 eV per atom
Total moment = 0.00 μB per formula unit
Crystal system = tetragonal
ρ = 3.9 g/cm3



> Which formula does entry 2 have?

RbIn2Ga



> Which value of ρ does entry 2 give?

3.9 g/cm3